{"formula": "Na2SrNi3F12", "functional": "PBE+U", "state": "optimized geometry", "cell": [[3.702, 2.137, 5.333], [-3.702, 2.137, 5.333], [0.000, -4.274, 5.333]], "species": ["Na", "Na", "Sr", "Ni", "Ni", "Ni", "F", "F", "F", "F", "F", "F", "F", "F", "F", "F", "F", "F"], "fractional_positions": [[0.134, 0.134, 0.134], [0.866, 0.866, 0.866], [0.500, 0.500, 0.500], [0.000, 0.500, 0.500], [0.500, 0.000, 0.500], [0.500, 0.500, 0.000], [0.064, 0.642, 0.642], [0.232, 0.232, 0.612], [0.232, 0.612, 0.232], [0.358, 0.358, 0.936], [0.358, 0.936, 0.358], [0.388, 0.768, 0.768], [0.612, 0.232, 0.232], [0.642, 0.064, 0.642], [0.642, 0.642, 0.064], [0.768, 0.388, 0.768], [0.768, 0.768, 0.388], [0.936, 0.358, 0.358]], "spacegroup": "R-3m (166)", "volume_a3_per_atom": 14.06, "final_energy_ev_per_cell": -76.7, "crystal_system": "trigonal"}